Crystalline Ac3PAu at its relaxed geometry, computed with PBE.

Cell lengths 5.785, 5.785, 5.785 Å; angles 90.00, 90.00, 90.00 degrees
Fractional positions:
P 0.000 0.000 0.000
Ac 0.000 0.500 0.000
Ac 0.000 0.000 0.500
Ac 0.500 0.000 0.000
Au 0.500 0.500 0.500

Calculated values
Mass density   7.8 g cm⁻³
E   -4.597 eV per atom
Total magnetic moment   0.001 Bohr magnetons per cell